No. 1
TbPm2Dy3 | GGA-PBE | relaxed

**Energy above the lowest structure with this stoichiometry**: 21 meV per atom
**DFT total energy**: -4.54 eV per atom
**N(E_F)**: 1.556 states/eV per atom

Structure (extended XYZ):
```
12
Lattice="11.651 -1.752 0.000 11.651 1.752 0.000 -3.238 0.000 9.738" Properties=species:S:1:pos:R:3 pbc="T T T"
Tb 4.274 0.000 0.362
Tb 15.790 0.000 9.376
Pm 3.256 0.000 3.609
Pm 7.249 0.000 8.418
Pm 12.815 0.000 1.320
Pm 16.808 0.000 6.129
Dy -0.065 0.000 4.328
Dy 2.224 0.000 6.970
Dy 9.274 0.000 2.281
Dy 10.790 0.000 7.457
Dy 17.840 0.000 2.768
Dy 20.129 0.000 5.410
```

No. 2
TbPm2Dy6 | GGA-PBE | relaxed

**DFT total energy**: -4.53 eV per atom
**N(E_F)**: 1.536 states/eV per atom

Structure (extended XYZ):
```
18
Lattice="5.313 -8.844 0.000 5.313 8.844 0.000 -0.414 0.000 6.167" Properties=species:S:1:pos:R:3 pbc="T T T"
Tb 5.002 4.602 4.625
Tb 5.210 -4.602 1.542
Pm 2.479 1.619 3.001
Pm 2.272 -1.619 6.084
Pm 7.940 1.619 0.083
Pm 7.733 -1.619 3.166
Dy 0.515 1.339 6.113
Dy 3.477 4.553 1.463
Dy 0.722 -1.339 3.029
Dy 3.989 1.550 6.134
Dy 6.942 4.553 1.621
Dy 6.015 1.550 3.116
Dy 4.196 -1.550 3.051
Dy 3.270 -4.553 4.546
Dy 6.223 -1.550 0.033
Dy 9.490 1.339 3.138
Dy 6.735 -4.553 4.704
Dy 9.697 -1.339 0.054
```

No. 3
Tb3Pm3Dy2 | GGA-PBE | relaxed

**Energy above the lowest structure with this stoichiometry**: 5 meV per atom
**DFT total energy**: -4.65 eV per atom
**N(E_F)**: 1.758 states/eV per atom

Structure (extended XYZ):
```
16
Lattice="5.740 0.000 0.000 0.000 14.623 0.000 0.000 0.000 6.319" Properties=species:S:1:pos:R:3 pbc="T T T"
Tb 1.435 0.010 1.052
Tb 1.435 3.656 1.075
Tb 1.435 7.301 1.052
Tb 4.305 7.321 5.267
Tb 4.305 10.967 5.244
Tb 4.305 14.613 5.267
Pm 1.435 1.816 4.218
Pm 1.435 5.495 4.218
Pm 1.435 10.967 1.034
Pm 4.305 3.656 5.285
Pm 4.305 9.128 2.101
Pm 4.305 12.806 2.101
Dy 1.435 9.134 4.209
Dy 1.435 12.800 4.209
Dy 4.305 1.823 2.110
Dy 4.305 5.488 2.110
```

No. 4
Tb2Pm2Dy5 | GGA-PBE | relaxed

**Energy above the lowest structure with this stoichiometry**: 0 meV per atom
**DFT total energy**: -4.43 eV per atom
**N(E_F)**: 1.609 states/eV per atom

Structure (extended XYZ):
```
18
Lattice="-7.457 5.895 3.370 7.457 -5.895 3.370 7.457 5.895 -3.370" Properties=species:S:1:pos:R:3 pbc="T T T"
Tb 0.000 0.000 0.000
Tb 7.457 0.000 0.000
Tb 3.729 5.767 2.770
Tb -3.729 6.024 2.770
Pm 1.892 -0.018 3.095
Pm 5.565 -0.018 3.095
Pm 1.892 5.914 -0.275
Pm 5.565 5.914 -0.275
Dy 8.239 2.911 -1.281
Dy 6.676 -2.984 2.090
Dy 3.729 -2.900 4.110
Dy 2.134 2.778 0.880
Dy 5.324 2.778 0.880
Dy -0.781 2.984 2.090
Dy 8.239 2.984 2.090
Dy 3.729 8.795 0.740
Dy 2.134 3.117 4.250
Dy 5.324 3.117 4.250
```

No. 5
Tb4PmDy | GGA-PBE | relaxed

**Energy above the lowest structure with this stoichiometry**: 232 meV per atom
**DFT total energy**: -4.40 eV per atom
**N(E_F)**: 1.421 states/eV per atom

Structure (extended XYZ):
```
12
Lattice="3.369 -6.014 0.000 3.369 6.014 0.000 0.000 0.000 9.769" Properties=species:S:1:pos:R:3 pbc="T T T"
Tb 1.617 1.239 7.327
Tb 3.369 4.153 5.570
Tb 3.369 4.153 9.084
Tb 1.617 -1.239 2.442
Tb 5.121 1.239 7.327
Tb 3.369 -4.153 0.685
Tb 3.369 -4.153 4.199
Tb 5.121 -1.239 2.442
Pm 3.369 2.131 2.442
Pm 3.369 -2.131 7.327
Dy 3.369 0.000 0.000
Dy 3.369 0.000 4.885
```

No. 6
Tb5Pm12Dy2 | GGA-PBE | relaxed

**Energy above the lowest structure with this stoichiometry**: 9 meV per atom
**DFT total energy**: -4.57 eV per atom
**N(E_F)**: 1.388 states/eV per atom

Structure (extended XYZ):
```
19
Lattice="7.795 -5.199 0.000 7.795 5.199 0.000 -0.316 0.000 8.000" Properties=species:S:1:pos:R:3 pbc="T T T"
Tb 0.000 0.000 0.000
Tb 3.499 0.000 7.891
Tb 5.295 0.000 3.309
Tb 9.978 0.000 4.691
Tb 11.774 0.000 0.109
Pm 4.613 2.812 5.647
Pm 2.048 0.000 4.917
Pm 6.108 2.348 0.895
Pm 9.166 2.348 7.105
Pm 10.661 2.812 2.353
Pm 6.736 0.000 6.320
Pm 8.538 0.000 1.680
Pm 4.613 -2.812 5.647
Pm 6.108 -2.348 0.895
Pm 9.166 -2.348 7.105
Pm 13.226 0.000 3.083
Pm 10.661 -2.812 2.353
Dy 7.637 2.565 4.000
Dy 7.637 -2.565 4.000
```

No. 7
TbPm7Dy2 | GGA-PBE | relaxed

**Energy above the lowest structure with this stoichiometry**: 0 meV per atom
**DFT total energy**: -4.32 eV per atom
**N(E_F)**: 1.524 states/eV per atom

Structure (extended XYZ):
```
10
Lattice="6.023 -8.413 0.000 6.023 8.413 0.000 0.000 0.000 3.512" Properties=species:S:1:pos:R:3 pbc="T T T"
Tb 0.000 0.000 0.000
Pm 3.073 2.176 1.756
Pm 6.023 2.977 0.000
Pm 3.073 -2.176 1.756
Pm 6.023 0.000 1.756
Pm 8.972 2.176 1.756
Pm 6.023 -2.977 0.000
Pm 8.972 -2.176 1.756
Dy 6.023 5.591 1.756
Dy 6.023 -5.591 1.756
```

No. 8
TbPm4Dy3 | GGA-PBE | relaxed

**Energy above the lowest structure with this stoichiometry**: 142 meV per atom
**DFT total energy**: -4.51 eV per atom
**N(E_F)**: 1.756 states/eV per atom

Structure (extended XYZ):
```
8
Lattice="11.787 -1.744 0.000 11.787 1.744 0.000 -1.946 0.000 6.526" Properties=species:S:1:pos:R:3 pbc="T T T"
Tb 0.000 0.000 0.000
Pm 5.205 0.000 1.542
Pm 7.639 0.000 4.120
Pm 13.988 0.000 2.406
Pm 16.422 0.000 4.984
Dy 8.653 0.000 0.776
Dy 10.814 0.000 3.263
Dy 12.974 0.000 5.750
```

No. 9
Tb2Pm6Dy | GGA-PBE | relaxed

**Energy above the lowest structure with this stoichiometry**: 0 meV per atom
**DFT total energy**: -4.62 eV per atom
**N(E_F)**: 1.343 states/eV per atom

Structure (extended XYZ):
```
18
Lattice="8.229 -5.891 0.000 8.229 5.891 0.000 -0.651 0.000 6.192" Properties=species:S:1:pos:R:3 pbc="T T T"
Tb 2.692 1.161 0.514
Tb 2.366 -1.161 3.610
Tb 13.441 1.161 2.582
Tb 13.116 -1.161 5.678
Pm 7.137 4.233 3.011
Pm 4.291 1.654 4.041
Pm 8.996 4.233 0.085
Pm 6.151 1.657 1.117
Pm 4.617 -1.654 0.945
Pm 9.982 1.657 1.979
Pm 5.825 -1.657 4.213
Pm 11.190 1.654 5.246
Pm 9.656 -1.657 5.075
Pm 6.811 -4.233 6.107
Pm 11.516 -1.654 2.150
Pm 8.671 -4.233 3.181
Dy 7.741 1.161 4.644
Dy 8.066 -1.161 1.548
```

No. 10
Tb12Pm2Dy5 | GGA-PBE | relaxed

**Energy above the lowest structure with this stoichiometry**: 115 meV per atom
**DFT total energy**: -4.50 eV per atom
**N(E_F)**: 1.464 states/eV per atom

Structure (extended XYZ):
```
19
Lattice="7.879 -4.620 0.000 7.879 4.620 0.000 -0.185 0.000 8.568" Properties=species:S:1:pos:R:3 pbc="T T T"
Tb 0.870 0.000 2.859
Tb 5.817 2.847 2.923
Tb 5.305 1.668 6.495
Tb 9.755 2.847 5.645
Tb 6.441 0.000 1.013
Tb 10.267 1.668 2.074
Tb 5.305 -1.668 6.495
Tb 9.132 0.000 7.555
Tb 5.817 -2.847 2.923
Tb 10.267 -1.668 2.074
Tb 9.755 -2.847 5.645
Tb 14.702 0.000 5.709
Pm 7.879 2.962 0.000
Pm 7.879 -2.962 0.000
Dy 3.136 0.000 0.115
Dy 4.161 0.000 3.657
Dy 7.786 0.000 4.284
Dy 11.412 0.000 4.912
Dy 12.436 0.000 8.453
```

No. 11
Tb4Pm7Dy | GGA-PBE | relaxed

**Energy above the lowest structure with this stoichiometry**: 213 meV per atom
**DFT total energy**: -4.48 eV per atom
**N(E_F)**: 1.603 states/eV per atom

Structure (extended XYZ):
```
12
Lattice="8.099 -2.993 0.000 8.099 2.993 0.000 -4.121 0.000 8.422" Properties=species:S:1:pos:R:3 pbc="T T T"
Tb 0.361 0.000 1.670
Tb -0.869 0.000 7.488
Tb 12.946 0.000 0.934
Tb 11.716 0.000 6.752
Pm -2.060 0.000 4.211
Pm 2.121 0.000 5.226
Pm 3.607 0.000 2.277
Pm 6.522 0.000 0.484
Pm 5.555 0.000 7.938
Pm 8.470 0.000 6.145
Pm 9.957 0.000 3.196
Dy 6.039 0.000 4.211
```

No. 12
Tb2Pm12Dy5 | GGA-PBE | relaxed

**Energy above the lowest structure with this stoichiometry**: 31 meV per atom
**DFT total energy**: -4.57 eV per atom
**N(E_F)**: 1.377 states/eV per atom

Structure (extended XYZ):
```
19
Lattice="7.895 -5.105 0.000 7.895 5.105 0.000 -0.231 0.000 8.017" Properties=species:S:1:pos:R:3 pbc="T T T"
Tb 7.895 2.628 0.000
Tb 7.895 -2.628 0.000
Pm 4.841 2.760 1.654
Pm 2.355 0.000 0.959
Pm 6.080 2.308 4.908
Pm 9.479 2.308 3.109
Pm 10.719 2.760 6.363
Pm 7.012 0.000 2.324
Pm 8.548 0.000 5.693
Pm 4.841 -2.760 1.654
Pm 6.080 -2.308 4.908
Pm 9.479 -2.308 3.109
Pm 13.204 0.000 7.058
Pm 10.719 -2.760 6.363
Dy -0.116 0.000 4.009
Dy 3.767 0.000 3.909
Dy 5.322 0.000 7.345
Dy 10.237 0.000 0.672
Dy 11.793 0.000 4.108
```